1.
VASP calculation (GGA-PBE) on a geometry-optimized CaSi2Ir structure.

Cell and atoms, written as POSCAR:
```
CaSi2Ir
1.0
0.000 3.192 3.192
3.192 0.000 3.192
3.192 3.192 0.000
Ir Si Ca
1 2 1
Cartesian
3.192 3.192 3.192 Ir
4.788 4.788 4.788 Si
1.596 1.596 1.596 Si
0.000 0.000 0.000 Ca
```

- calculated volume (A^3/atom) = 16.26
- space group = Fm-3m
- formation energy without anion corrections (kJ/mol of atoms) = -19

=====

2.
VASP calculation (GGA-PBE) on a geometry-optimized MgP2H structure.

Cell and atoms, written as POSCAR:
```
MgP2H
1.0
0.000 3.032 3.032
3.032 0.000 3.032
3.032 3.032 0.000
Mg P H
1 2 1
Cartesian
3.032 3.032 3.032 Mg
4.548 4.548 4.548 P
1.516 1.516 1.516 P
0.000 0.000 0.000 H
```

- calculated volume (A^3/atom) = 13.93
- space group = Fm-3m
- E above lowest polymorph (eV/atom) = 0.427

=====

3.
VASP calculation (GGA-PBE) on a geometry-optimized Hf3Ga3Ir2 structure.

Cell and atoms, written as POSCAR:
```
Hf3Ga3Ir2
1.0
-2.318 2.088 -4.351
-1.194 -6.283 -2.378
-14.015 -0.137 7.399
Hf Ga Ir
12 12 8
Cartesian
-7.490 -5.337 -1.162 Hf
-2.399 -2.756 -0.747 Hf
-15.127 -1.576 1.417 Hf
-5.425 -0.785 -1.804 Hf
-10.036 1.004 1.831 Hf
-13.866 0.967 3.853 Hf
-6.229 -2.794 1.275 Hf
-11.298 -1.538 -0.605 Hf
-3.661 -5.299 -3.184 Hf
-12.102 -3.547 2.473 Hf
-6.461 -3.531 -3.817 Hf
-11.066 -0.801 4.487 Hf
-3.355 -3.231 -5.643 Ga
-7.801 -1.039 2.950 Ga
-13.405 -3.477 0.006 Ga
-5.089 -3.663 -1.220 Ga
-12.438 -0.669 1.889 Ga
-8.467 -0.748 0.150 Ga
-2.097 -0.685 -3.213 Ga
-9.725 -3.294 -2.280 Ga
-9.060 -3.585 0.519 Ga
-14.172 -1.101 6.313 Ga
-4.122 -0.855 0.664 Ga
-15.430 -3.647 3.882 Ga
-7.433 -2.576 -1.328 Ir
-13.655 -1.791 3.877 Ir
-3.901 1.164 -3.194 Ir
-3.872 -2.541 -3.208 Ir
-7.462 1.129 -1.314 Ir
-10.093 -1.756 1.997 Ir
-13.626 -5.496 3.863 Ir
-10.065 -5.461 1.983 Ir
```

- calculated volume (A^3/atom) = 18.09
- space group = Pnma
- E_form (eV/f.u.) = -5.04

=====

4.
VASP calculation (GGA-PBE) on a geometry-optimized Mo2OsBr structure.

Cell and atoms, written as POSCAR:
```
Mo2OsBr
1.0
4.540 0.000 0.000
0.000 3.786 0.000
0.000 0.000 3.786
Br Mo Os
1 2 1
Cartesian
2.270 0.000 1.893 Br
0.000 1.893 1.893 Mo
0.000 0.000 0.000 Mo
2.270 1.893 0.000 Os
```

- calculated volume (A^3/atom) = 16.27
- space group = P4/mmm
- E above lowest polymorph (eV/atom) = 0.791
- formation energy without anion corrections (kJ/mol of atoms) = 122